Entry from Alexandria: a relaxed structure of NaIr5S8 (GGA-PBE).

The space group is No. 1. The calculation puts the total energy at -83.6 eV for the cell shown. The uncorrected formation energy comes out at -8.20 kcal/mol of atoms.

a = 3.6167 Å, b = 8.3677 Å, c = 9.0729 Å
α = 105.46°, β = 100.33°, γ = 91.01°
Closest atoms and distances in Å follow each position.
Element x y z (fractional)
1 Na 0.0000 0.0000 0.0000  5 S 2.95-3.17
2 Ir 0.0343 0.8290 0.3496  6 S 2.33-2.44
3 Ir 0.1555 0.4629 0.2299  4 S 2.27-2.37
4 Ir 0.3641 0.5095 0.9523  6 S 2.36-2.50
5 Ir 0.6300 0.1920 0.5404  5 S 2.33-2.58
6 Ir 0.7010 0.5615 0.6196  6 S 2.33-2.53
7 S 0.1390 0.3896 0.4624  4 Ir 2.36-2.58
8 S 0.1482 0.0375 0.5911  3 Ir 2.33-2.37
9 S 0.2781 0.6961 0.7769  3 Ir 2.37-2.50
10 S 0.5157 0.9981 0.2907  3 Ir 2.37-2.44
11 S 0.5600 0.6813 0.4117  4 Ir 2.33-2.37
12 S 0.5704 0.3183 0.0949  3 Ir 2.27-2.37
13 S 0.7788 0.3904 0.7865  4 Ir 2.33-2.39
14 S 0.9188 0.6827 0.0793  4 Ir 2.37-2.64